(1)
The following is a DFT calculation (GGA-PBE) of a geometry-optimized MgAlIr2 structure.

## Properties
Its energy of formation from the pure elements is -0.6864 eV per atom. The calculation puts the density at 12.7 g/cm³. The calculation puts the density of states at the Fermi level at 1.33 states/eV per cell. The total magnetization is 0.0 μB/f.u. Its crystal system is cubic.

a b c (Å): 4.3218 4.3218 4.3218
angles (deg): 60.00 60.00 60.00
With the nearest neighbours (Å) after each atom.
Positions (direct):
Ir 0.2500 0.2500 0.2500  4 Mg 2.65, 4 Al 2.65
Al 0.5000 0.5000 0.5000  8 Ir 2.65
Mg 0.0000 0.0000 0.0000  8 Ir 2.65
Ir 0.7500 0.7500 0.7500  4 Mg 2.65, 4 Al 2.65

(2)
The following is a DFT calculation (GGA-PBE) of a geometry-optimized MgAl2Ir structure.

## Properties
Its energy of formation from the pure elements is -0.5114 eV per atom. The calculation puts the density at 6.2 g/cm³. The calculation puts the density of states at the Fermi level at 1.02 states/eV per cell. The total magnetization is 0.0 μB/f.u. Its crystal system is trigonal.

a b c (Å): 4.2390 4.2390 5.2684
angles (deg): 66.28 66.28 60.00
With the nearest neighbours (Å) after each atom.
Positions (direct):
Al 0.2851 0.2851 0.1448  3 Ir 2.60, 3 Al 2.76, 1 Mg 2.87
Mg 0.4902 0.4902 0.5295  1 Ir 2.68, 4 Al 2.87-2.92
Ir 0.6818 0.6818 0.9546  6 Al 2.48-2.60, 1 Mg 2.68
Al 0.0430 0.0430 0.8710  3 Ir 2.48, 3 Al 2.76

(3)
The following is a DFT calculation (GGA-PBE) of a geometry-optimized MgAlIr2 structure.

## Properties
Its energy of formation from the pure elements is -0.3274 eV per atom. The calculation puts the density at 12.1 g/cm³. The calculation puts the density of states at the Fermi level at 2.02 states/eV per cell. The total magnetization is 0.0 μB/f.u. Its crystal system is orthorhombic.

a b c (Å): 2.9923 4.7775 4.1870
angles (deg): 90.00 90.00 90.00
With the nearest neighbours (Å) after each atom.
Positions (direct):
Ir 0.0000 0.0000 0.0000  4 Mg 2.57, 4 Ir 2.82
Ir 0.5000 0.5000 0.0000  4 Al 2.57, 4 Ir 2.82
Mg 0.5000 0.0000 0.5000  4 Ir 2.57, 4 Al 2.82
Al 0.0000 0.5000 0.5000  4 Ir 2.57, 4 Mg 2.82

(4)
The following is a DFT calculation (GGA-PBE) of a geometry-optimized Mg3AlIr4 structure.

## Properties
Its energy of formation from the pure elements is -0.4674 eV per atom. The calculation puts the density at 12.2 g/cm³. The calculation puts the density of states at the Fermi level at 7.51 states/eV per cell. The total magnetization is 0.0 μB/f.u. Its crystal system is tetragonal.

a b c (Å): 3.0649 3.0649 12.6043
angles (deg): 90.00 90.00 90.00
With the nearest neighbours (Å) after each atom.
Positions (direct):
Ir 0.0000 0.0000 0.1148  4 Al 2.61, 4 Mg 2.72, 1 Ir 2.89
Mg 0.5000 0.5000 0.5000  8 Ir 2.71
Ir 0.0000 0.0000 0.3715  8 Mg 2.69-2.71
Ir 0.0000 0.0000 0.8852  4 Al 2.61, 4 Mg 2.72, 1 Ir 2.89
Mg 0.5000 0.5000 0.2453  8 Ir 2.69-2.72
Al 0.5000 0.5000 0.0000  8 Ir 2.61
Mg 0.5000 0.5000 0.7547  8 Ir 2.69-2.72
Ir 0.0000 0.0000 0.6285  8 Mg 2.69-2.71

(5)
The following is a DFT calculation (GGA-PBE) of a geometry-optimized Mg2AlIr structure.

## Properties
Its energy of formation from the pure elements is -0.3966 eV per atom. The calculation puts the density at 7.0 g/cm³. The calculation puts the density of states at the Fermi level at 1.34 states/eV per cell. The total magnetization is 0.0 μB/f.u. Its crystal system is tetragonal.

a b c (Å): 4.5157 4.5157 4.5157
angles (deg): 121.22 121.22 87.90
With the nearest neighbours (Å) after each atom.
Positions (direct):
Mg 0.0000 0.0000 0.0000  4 Ir 2.75, 4 Mg 2.75
Al 0.5000 0.5000 0.0000  4 Mg 2.75, 4 Ir 2.75
Mg 0.2500 0.7500 0.5000  4 Mg 2.75, 4 Al 2.75
Ir 0.7500 0.2500 0.5000  4 Mg 2.75, 4 Al 2.75

(6)
The following is a DFT calculation (GGA-PBE) of a geometry-optimized MgAl2Ir structure.

## Properties
Its energy of formation from the pure elements is -0.3313 eV per atom. The calculation puts the density at 7.3 g/cm³. The calculation puts the density of states at the Fermi level at 0.92 states/eV per cell. The total magnetization is 0.0 μB/f.u. Its crystal system is orthorhombic.

a b c (Å): 3.1430 4.4790 4.3460
angles (deg): 90.00 90.00 90.00
With the nearest neighbours (Å) after each atom.
Positions (direct):
Mg 0.0000 0.5000 0.5000  4 Al 2.68, 4 Ir 2.74
Al 0.0000 0.0000 0.0000  4 Ir 2.68, 4 Al 2.74
Al 0.5000 0.5000 0.0000  4 Mg 2.68, 4 Al 2.74
Ir 0.5000 0.0000 0.5000  4 Al 2.68, 4 Mg 2.74